# 1
Pr8SiSb5: relaxed, PBE-GGA.

Cell: 8.2494 8.2494 8.2494 Å, 109.74 109.74 108.93°
With the nearest neighbours (Å) after each atom.
Atoms (fractional coordinates):
Pr (0.0197, 0.6271, 0.7459)  5 Sb 3.18-3.46, 1 Si 3.39
Pr (0.2327, 0.4961, 0.1233)  1 Si 3.03, 2 Sb 3.17-3.20
Pr (0.3728, 0.1094, 0.8767)  1 Si 3.03, 2 Sb 3.17-3.20
Pr (0.3729, 0.1189, 0.3927)  5 Sb 3.18-3.46, 1 Si 3.39
Pr (0.5039, 0.6272, 0.7366)  1 Si 3.03, 2 Sb 3.17-3.20
Pr (0.7262, 0.9803, 0.6073)  5 Sb 3.18-3.46, 1 Si 3.39
Pr (0.8811, 0.2738, 0.2541)  5 Sb 3.18-3.46, 1 Si 3.39
Pr (0.8906, 0.7673, 0.2634)  1 Si 3.03, 2 Sb 3.17-3.20
Si (0.2500, 0.7500, 0.5000)  8 Pr 3.03-3.39
Sb (0.0000, 0.0000, 0.0000)  8 Pr 3.18-3.50
Sb (0.1244, 0.2512, 0.6309)  8 Pr 3.17-3.49
Sb (0.5065, 0.8756, 0.1269)  8 Pr 3.17-3.49
Sb (0.6204, 0.4935, 0.3691)  8 Pr 3.17-3.49
Sb (0.7488, 0.3796, 0.8731)  8 Pr 3.17-3.49

Calculated values
As for the space group: I-4. The energy relative to the elements, uncorrected is -0.994 eV per atom. The calculation puts the density at 6.78 g cm⁻³. The value obtained for the density of states at the Fermi level is 14.01 states/eV per cell. The energy is -0.410 Ry/atom.

***

# 2
CeSmCo10: relaxed, PBE-GGA.

Cell: 3.9831 4.9110 8.5609 Å, 90.00 90.00 90.00°
With the nearest neighbours (Å) after each atom.
Atoms (fractional coordinates):
Ce (0.0000, 0.0000, 0.0000)  6 Co 2.68-2.81
Sm (0.0000, 0.5000, 0.5000)  18 Co 2.90-3.16
Co (0.0000, 0.0000, 0.3130)  6 Co 2.41-2.56, 1 Ce 2.68
Co (0.0000, 0.0000, 0.6870)  6 Co 2.41-2.56, 1 Ce 2.68
Co (0.0000, 0.5000, 0.1607)  6 Co 2.42-2.46
Co (0.0000, 0.5000, 0.8393)  6 Co 2.42-2.46
Co (0.5000, 0.0000, 0.5000)  8 Co 2.46-2.56
Co (0.5000, 0.2556, 0.2535)  8 Co 2.40-2.51
Co (0.5000, 0.2556, 0.7465)  8 Co 2.40-2.51
Co (0.5000, 0.5000, 0.0000)  8 Co 2.42-2.48
Co (0.5000, 0.7444, 0.2535)  8 Co 2.40-2.51
Co (0.5000, 0.7444, 0.7465)  8 Co 2.40-2.51

Calculated values
As for the space group: Pmmm. The calculation puts the formation energy at -0.093 eV per atom. The calculation puts the density at 8.72 g cm⁻³. The value obtained for the density of states at the Fermi level is 17.83 states/eV per cell. The energy is -0.507 Ry/atom.

***

# 3
Ca2TcW: relaxed, PBE-GGA.

Cell: 3.2823 3.2819 9.0677 Å, 90.00 90.13 90.00°
With the nearest neighbours (Å) after each atom.
Atoms (fractional coordinates):
Ca (0.0000, 0.0000, 0.0000)  4 Tc 3.17, 4 Ca 3.28, 1 W 3.32
Ca (0.4971, 0.5000, 0.3841)  4 W 3.24, 4 Ca 3.28, 1 Tc 3.43
Tc (0.4993, 0.5000, 0.7624)  4 W 2.60
W (0.9985, 0.0000, 0.6340)  4 Tc 2.60

Calculated values
As for the space group: Pm. The calculation puts the formation energy at 0.316 eV per atom. The calculation puts the density at 6.15 g cm⁻³. The value obtained for the density of states at the Fermi level is 4.26 states/eV per cell. The energy is -0.479 Ry/atom.